Ni3BiF (PBE+U, relaxed); E = -7.29 eV per formula unit
1.0
-2.788 -2.968 -2.994
3.625 -3.521 0.114
-2.152 -2.085 4.071
Ni Bi F
3 1 1
direct
0.000 0.500 0.000
0.000 0.000 0.500
0.500 0.000 0.000
0.000 0.000 0.000
0.500 0.500 0.500